(1)
# HgAs2P

A PBEsol-optimized structure of HgAs2P (meta-GGA SCAN, the Alexandria database).

Energy of formation   2.68 eV/f.u.
Offset from the most stable computed form   378 meV/atom
Magnetization   0.00 μB/cell
SG   P4/mmm (123)
Mass density   8.5 g cm⁻³
Density of states at the Fermi level   1.56 states/eV/f.u.

The structure in POSCAR format:
```
HgAs2P
1.0
3.332 0.000 0.000
0.000 4.720 0.000
0.000 0.000 4.720
P As Hg
1 2 1
Cartesian
1.666 0.000 0.000 P
0.000 2.360 0.000 As
0.000 0.000 2.360 As
1.666 2.360 2.360 Hg
```


(2)
# Hg2AsP

A PBEsol-optimized structure of Hg2AsP (meta-GGA SCAN, the Alexandria database).

Energy of formation   0.31 eV/f.u.
Offset from the most stable computed form   0 meV/atom
Magnetization   0.00 μB/cell
SG   Cm (8)
Mass density   9.4 g cm⁻³
Density of states at the Fermi level   0.87 states/eV/f.u.

The structure in POSCAR format:
```
Hg2AsP
1.0
3.382 0.000 0.000
-1.691 3.716 -0.098
0.000 -0.625 7.125
Hg As P
2 1 1
Cartesian
0.000 0.076 0.071 Hg
0.000 1.309 5.150 Hg
1.691 2.051 2.016 As
0.000 3.058 3.255 P
```


(3)
# HgAsP

A PBEsol-optimized structure of HgAsP (meta-GGA SCAN, the Alexandria database).

Energy of formation   1.74 eV/f.u.
Offset from the most stable computed form   501 meV/atom
Magnetization   0.00 μB/cell
SG   F-43m (216)
Mass density   7.9 g cm⁻³
Density of states at the Fermi level   0.85 states/eV/f.u.

The structure in POSCAR format:
```
HgAsP
1.0
4.508 0.000 0.000
2.254 3.904 0.000
2.254 1.301 3.681
Hg P As
1 1 1
Cartesian
4.508 2.603 1.840 Hg
2.254 1.301 0.920 P
0.000 0.000 0.000 As
```


(4)
# HgAs2P2

A PBEsol-optimized structure of HgAs2P2 (meta-GGA SCAN, the Alexandria database).

Energy of formation   1.90 eV/f.u.
Magnetization   0.00 μB/cell
SG   I4/mmm (139)
Mass density   6.5 g cm⁻³
Density of states at the Fermi level   1.55 states/eV/f.u.

The structure in POSCAR format:
```
HgAs2P2
1.0
4.508 0.000 0.000
0.000 4.508 0.000
-2.254 -2.254 5.182
Hg As P
1 2 2
Cartesian
0.000 0.000 0.000 Hg
2.254 0.000 2.591 As
0.000 2.254 2.591 As
2.254 2.254 1.557 P
0.000 0.000 3.625 P
```


(5)
# HgAs2P

A PBEsol-optimized structure of HgAs2P (meta-GGA SCAN, the Alexandria database).

Energy of formation   2.68 eV/f.u.
Offset from the most stable computed form   378 meV/atom
Magnetization   0.00 μB/cell
SG   Pmmm (47)
Mass density   8.5 g cm⁻³
Density of states at the Fermi level   1.90 states/eV/f.u.

The structure in POSCAR format:
```
HgAs2P
1.0
3.333 0.000 0.000
0.000 4.734 0.000
0.000 0.000 4.701
P Hg As
1 1 2
Cartesian
0.000 2.367 2.350 P
1.667 2.367 0.000 Hg
0.000 0.000 0.000 As
1.667 0.000 2.350 As
```


(6)
# Hg2AsP

A PBEsol-optimized structure of Hg2AsP (meta-GGA SCAN, the Alexandria database).

Energy of formation   0.95 eV/f.u.
Offset from the most stable computed form   160 meV/atom
Magnetization   0.00 μB/cell
SG   Imm2 (44)
Mass density   9.4 g cm⁻³
Density of states at the Fermi level   1.28 states/eV/f.u.

The structure in POSCAR format:
```
Hg2AsP
1.0
-2.622 0.806 1.908
-2.402 -1.340 -2.735
2.700 -5.975 3.307
P Hg As
1 2 1
Cartesian
-2.489 -1.045 -0.053 P
-2.340 -5.982 2.236 Hg
-1.198 -3.350 2.694 Hg
-1.134 -2.910 -0.329 As
```


(7)
# Hg2AsP

A PBEsol-optimized structure of Hg2AsP (meta-GGA SCAN, the Alexandria database).

Energy of formation   2.54 eV/f.u.
Offset from the most stable computed form   559 meV/atom
Magnetization   0.00 μB/cell
SG   R-3m (166)
Mass density   10.6 g cm⁻³
Density of states at the Fermi level   1.86 states/eV/f.u.

The structure in POSCAR format:
```
Hg2AsP
1.0
-1.611 2.314 0.871
-2.813 0.246 -0.857
-4.549 -4.505 8.555
P As Hg
1 1 2
Cartesian
-4.486 -0.973 4.284 P
0.000 0.000 0.000 As
-6.706 -1.417 6.360 Hg
-2.267 -0.528 2.208 Hg
```


(8)
# Hg2AsP

A PBEsol-optimized structure of Hg2AsP (meta-GGA SCAN, the Alexandria database).

Energy of formation   2.88 eV/f.u.
Offset from the most stable computed form   643 meV/atom
Magnetization   0.00 μB/cell
SG   Fm-3m (225)
Mass density   10.6 g cm⁻³
Density of states at the Fermi level   2.20 states/eV/f.u.

The structure in POSCAR format:
```
Hg2AsP
1.0
4.819 0.000 0.000
2.410 4.173 0.000
2.410 1.391 3.935
As Hg P
1 2 1
Cartesian
0.000 0.000 0.000 As
2.410 1.391 0.984 Hg
7.229 4.173 2.951 Hg
4.819 2.782 1.967 P
```